The following is a GGA-PBE calculation of crystalline Al2Cu at its relaxed geometry, from the Alexandria database.

Cell lengths 5.160, 5.160, 6.813 Å; angles 110.12, 110.12, 31.33 degrees
Atoms (fractional coordinates):
1 Al 0.142 0.142 0.037
2 Al 0.165 0.165 0.614
3 Al 0.835 0.835 0.386
4 Al 0.858 0.858 0.963
5 Cu 0.462 0.462 0.721
6 Cu 0.538 0.538 0.279

Values from the calculation:
ΔE_f = -20 kJ/mol of formula units

=====

The following is a GGA-PBE calculation of crystalline Te2MoAu at its relaxed geometry, from the Alexandria database.

Cell lengths 10.620, 10.620, 10.620 Å; angles 18.00, 18.00, 18.00 degrees
Atoms (fractional coordinates):
1 Te 0.000 0.000 0.000
2 Te 0.201 0.201 0.201
3 Mo 0.474 0.474 0.474
4 Au 0.740 0.740 0.740

Values from the calculation:
offset from the most stable computed form = 0.549 eV/f.u.
uncorrected formation energy = 0.238 eV/atom

=====

Number 1: DOS(E_F) 0.31 states/eV per atom, theoretical density 4.430 g/cm³, E -3.93 eV/atom. Number 2: DOS(E_F) 1.13 states/eV per atom, theoretical density 9.114 g/cm³, E -4.86 eV/atom.